[1]
First-principles (PBE) data for a relaxed structure of Tb3Pm6SmTm2, as listed in Alexandria via LeMat-Bulk.

The calculation puts the total energy at -4.66 eV per atom. As for the formation enthalpy at 0 K: 0.01 eV/atom.

The structure belongs to space group C2/m (No. 12); the cell edges are 6.2439, 10.8124 and 11.8660 Å and the angles 90.00°, 100.07° and 90.00°. The inequivalent atoms are Tb at (0.0000, 0.0000, 0.0000), Tb at (0.0000, 0.3332, 0.0000), Pm at (0.2493, 0.1671, 0.2506), Pm at (0.2496, 0.0000, 0.7491), Sm at (0.0000, 0.5000, 0.5000) and Tm at (0.0000, 0.1667, 0.5000).

[2]
First-principles (PBE) data for a relaxed structure of HgBH3, as listed in Alexandria via LeMat-Bulk.

The value obtained for the energy relative to the lowest polymorph listed for this composition is 0 meV/atom. The calculation puts the total energy at -2.39 eV per atom.

The structure belongs to space group Pm-3m (No. 221); the cell edges are 3.4779, 3.4779 and 3.4779 Å and the angles 90.00°, 90.00° and 90.00°. The inequivalent atoms are Hg at (0.0000, 0.0000, 0.0000), B at (0.5000, 0.5000, 0.5000) and H at (0.0000, 0.5000, 0.5000).

[3]
First-principles (PBE) data for a relaxed structure of AcScTeSe2, as listed in Alexandria via LeMat-Bulk.

The calculation puts the total energy at -5.72 eV per atom. The formation energy from raw total energies comes out at -8.1 eV per formula unit.

The structure belongs to space group P4mm (No. 99); the cell edges are 5.0161, 5.0161 and 6.6856 Å and the angles 90.00°, 90.00° and 90.00°. The inequivalent atoms are Ac at (0.0000, 0.0000, 0.0000), Sc at (0.5000, 0.5000, 0.3903), Te at (0.5000, 0.5000, 0.8111) and Se at (0.0000, 0.5000, 0.2747).

[4]
First-principles (PBE) data for a relaxed structure of RbHg2W2, as listed in Alexandria via LeMat-Bulk.

The value obtained for the energy relative to the lowest polymorph listed for this composition is 132 meV/atom. The calculation puts the total energy at -4.54 eV per atom. As for the formation enthalpy at 0 K: 0.96 eV/atom.

The structure belongs to space group P4/mbm (No. 127); the cell edges are 9.0513, 9.0513 and 2.8291 Å and the angles 90.00°, 90.00° and 90.00°. The inequivalent atoms are Rb at (0.0000, 0.0000, 0.0000), Hg at (0.1917, 0.3083, 0.0000) and W at (0.0971, 0.5971, 0.5000).

[5]
First-principles (PBE) data for a relaxed structure of Er4Tm2Mg, as listed in Alexandria via LeMat-Bulk.

The value obtained for the energy relative to the lowest polymorph listed for this composition is 32 meV/atom. The calculation puts the total energy at -3.97 eV per atom. As for the formation enthalpy at 0 K: 0.14 eV/atom.

The structure belongs to space group P2/m (No. 10); the cell edges are 5.8341, 3.5606 and 10.5776 Å and the angles 90.00°, 99.08° and 90.00°. The inequivalent atoms are Er at (0.0594, 0.0000, 0.2012), Er at (0.4231, 0.5000, 0.7499), Tm at (0.0000, 0.5000, 0.5000), Tm at (0.5000, 0.0000, 0.5000) and Mg at (0.5000, 0.0000, 0.0000).

[6]
First-principles (PBE) data for a relaxed structure of TaAl2Os, as listed in Alexandria via LeMat-Bulk.

The value obtained for the energy relative to the lowest polymorph listed for this composition is 86 meV/atom. The calculation puts the total energy at -7.94 eV per atom. As for the formation enthalpy at 0 K: -0.30 eV/atom.

The structure belongs to space group P4/mmm (No. 123); the cell edges are 2.9958, 2.9958 and 6.8062 Å and the angles 90.00°, 90.00° and 90.00°. The inequivalent atoms are Ta at (0.0000, 0.0000, 0.0000), Al at (0.5000, 0.5000, 0.2862) and Os at (0.0000, 0.0000, 0.5000).

[7]
First-principles (PBE) data for a relaxed structure of YInGe2Bi, as listed in Alexandria via LeMat-Bulk.

The calculation puts the total energy at -3.79 eV per atom. As for the formation enthalpy at 0 K: 0.67 eV/atom.

The structure belongs to space group P4/mmm (No. 123); the cell edges are 5.4854, 5.4854 and 5.8610 Å and the angles 90.00°, 90.00° and 90.00°. The inequivalent atoms are Y at (0.0000, 0.0000, 0.0000), In at (0.5000, 0.5000, 0.0000), Ge at (0.0000, 0.5000, 0.5000) and Bi at (0.0000, 0.0000, 0.5000).

[8]
First-principles (PBE) data for a relaxed structure of Mn5I3Br12, as listed in Alexandria via LeMat-Bulk.

The calculation puts the total energy at -3.88 eV per atom. The formation energy from raw total energies comes out at -7.0 eV per formula unit.

The structure belongs to space group Ia-3d (No. 230); the cell edges are 17.5741, 17.5741 and 17.5741 Å and the angles 90.00°, 90.00° and 90.00°. The inequivalent atoms are Mn at (0.0000, 0.0000, 0.0000), Mn at (0.0000, 0.2500, 0.3750), I at (0.0000, 0.2500, 0.1250) and Br at (0.0339, 0.0368, 0.6468).

[9]
First-principles (PBE) data for a relaxed structure of Fe2CuPd, as listed in Alexandria via LeMat-Bulk.

The value obtained for the energy relative to the lowest polymorph listed for this composition is 0 meV/atom. The calculation puts the total energy at -6.48 eV per atom. As for the formation enthalpy at 0 K: 0.07 eV/atom.

The structure belongs to space group P4/mmm (No. 123); the cell edges are 2.6470, 2.6470 and 7.3910 Å and the angles 90.00°, 90.00° and 90.00°. The inequivalent atoms are Fe at (0.0000, 0.0000, 0.2394), Cu at (0.5000, 0.5000, 0.0000) and Pd at (0.5000, 0.5000, 0.5000).

[10]
First-principles (PBE) data for a relaxed structure of BaPaNi2Se4, as listed in Alexandria via LeMat-Bulk.

The calculation puts the total energy at -5.47 eV per atom. The formation energy from raw total energies comes out at -6.8 eV per formula unit.

The structure belongs to space group I222 (No. 23); the cell edges are 6.3487, 7.5986 and 8.6236 Å and the angles 90.00°, 90.00° and 90.00°. The inequivalent atoms are Ba at (0.0000, 0.0000, 0.0000), Pa at (0.0000, 0.0000, 0.5000), Ni at (0.0000, 0.5000, 0.1379) and Se at (0.2371, 0.2008, 0.3019).

[11]
First-principles (PBE) data for a relaxed structure of Nb2TlPt, as listed in Alexandria via LeMat-Bulk.

The value obtained for the energy relative to the lowest polymorph listed for this composition is 92 meV/atom. The calculation puts the total energy at -6.84 eV per atom. As for the formation enthalpy at 0 K: 0.30 eV/atom.

The structure belongs to space group I-42d (No. 122); the cell edges are 7.5525, 7.5525 and 5.7371 Å and the angles 90.00°, 90.00° and 90.00°. The inequivalent atoms are Nb at (0.2193, 0.7500, 0.1250), Tl at (0.0000, 0.0000, 0.5000) and Pt at (0.0000, 0.0000, 0.0000).

[12]
First-principles (PBE) data for a relaxed structure of CrSe3, as listed in Alexandria via LeMat-Bulk.

The calculation puts the total energy at -5.15 eV per atom. The formation energy from raw total energies comes out at -0.5 eV per formula unit.

The structure belongs to space group P-6m2 (No. 187); the cell edges are 3.1032, 3.1032 and 10.8850 Å and the angles 90.00°, 90.00° and 120.00°. The inequivalent atoms are Cr at (0.0000, 0.0000, 0.0000), Se at (0.0000, 0.0000, 0.5000) and Se at (0.6667, 0.3333, 0.1483).